A plane-wave DFT calculation with PBE was carried out for crystalline Tb6DyTm5 at its relaxed geometry. Values from VASP.

E_form in eV/atom: 0.020
Crystal system: monoclinic
ρ in Mg/m³: 8.81

Quantum ESPRESSO input file:
```
&SYSTEM
  ibrav = 0, nat = 12, ntyp = 3
/
ATOMIC_SPECIES
Tb 158.93 Tb.upf
Tm 168.93 Tm.upf
Dy 162.50 Dy.upf
CELL_PARAMETERS angstrom
-4.7558 -0.4919 3.7848
-4.7727 -3.4821 -1.5374
8.1172 -8.6921 2.5336
ATOMIC_POSITIONS crystal
Tb 0.8335 0.3336 0.2506
Tb 0.1672 0.6664 0.2506
Tb 0.4994 0.0000 0.7496
Tb 0.1665 0.6664 0.7494
Tb 0.8328 0.3336 0.7494
Tb 0.5006 0.0000 0.2504
Tm 0.3332 0.3335 0.5000
Tm 0.6668 0.6665 0.5000
Tm 0.3333 0.3334 0.0000
Tm 0.0000 0.0000 0.5000
Tm 0.6667 0.6666 0.0000
Dy 0.0000 0.0000 0.0000
```

A plane-wave DFT calculation with PBE was carried out for crystalline SiRuPt2 at its relaxed geometry. Values from VASP.

Crystal system: cubic
Raw formation energy in meV per atom: -69
ρ in Mg/m³: 14.67

Quantum ESPRESSO input file:
```
&SYSTEM
  ibrav = 0, nat = 4, ntyp = 3
/
ATOMIC_SPECIES
Ru 101.07 Ru.upf
Pt 195.08 Pt.upf
Si 28.09 Si.upf
CELL_PARAMETERS angstrom
4.3643 0.0000 0.0000
2.1821 3.7796 0.0000
2.1821 1.2599 3.5634
ATOMIC_POSITIONS crystal
Ru 0.5000 0.5000 0.5000
Pt 0.0000 0.0000 0.0000
Pt 0.2500 0.2500 0.2500
Si 0.7500 0.7500 0.7500
```

A plane-wave DFT calculation with PBE was carried out for crystalline UTi4S8 at its relaxed geometry. Values from VASP.

Crystal system: trigonal
Raw formation energy in meV per atom: -1427
ρ in Mg/m³: 4.44

Quantum ESPRESSO input file:
```
&SYSTEM
  ibrav = 0, nat = 13, ntyp = 3
/
ATOMIC_SPECIES
S 32.06 S.upf
U 238.03 U.upf
Ti 47.87 Ti.upf
CELL_PARAMETERS angstrom
-6.1273 2.9579 -1.2021
-5.3512 -1.3223 4.1660
-2.2151 5.3424 4.5799
ATOMIC_POSITIONS crystal
S 0.2406 0.7541 0.7647
S 0.7541 0.2406 0.7647
S 0.7411 0.7411 0.7766
S 0.2589 0.2589 0.2234
S 0.7594 0.2459 0.2353
S 0.2406 0.2406 0.7647
S 0.7594 0.7594 0.2353
S 0.2459 0.7594 0.2353
U 0.5000 0.5000 0.5000
Ti 0.0000 0.5000 0.0000
Ti 0.5000 0.5000 0.0000
Ti 0.0000 0.0000 0.0000
Ti 0.5000 0.0000 0.0000
```

A plane-wave DFT calculation with PBE was carried out for crystalline La2Mg5Ag5 at its relaxed geometry. Values from VASP.

E_form in eV/atom: -0.254
Crystal system: orthorhombic
ρ in Mg/m³: 5.66

Quantum ESPRESSO input file:
```
&SYSTEM
  ibrav = 0, nat = 12, ntyp = 3
/
ATOMIC_SPECIES
Mg 24.30 Mg.upf
La 138.91 La.upf
Ag 107.87 Ag.upf
CELL_PARAMETERS angstrom
-1.1811 0.5137 -4.4546
-5.1691 -2.6242 1.0680
-4.1060 8.9512 2.1209
ATOMIC_POSITIONS crystal
Mg 0.5000 0.2497 0.7599
Mg 0.5000 0.2497 0.2401
Mg 0.5000 0.5000 0.5000
Mg 0.5000 0.7503 0.2401
Mg 0.5000 0.7503 0.7599
La 0.0000 0.5000 0.0000
La 0.0000 0.0000 0.5000
Ag 0.0000 0.5000 0.3326
Ag 0.0000 0.0000 0.8306
Ag 0.0000 0.0000 0.1694
Ag 0.0000 0.5000 0.6674
Ag 0.5000 0.0000 0.0000
```

A plane-wave DFT calculation with PBE was carried out for crystalline Tb6AgRh3 at its relaxed geometry. Values from VASP.

E_form in eV/atom: -0.522
Crystal system: orthorhombic
ρ in Mg/m³: 8.83

Quantum ESPRESSO input file:
```
&SYSTEM
  ibrav = 0, nat = 20, ntyp = 3
/
ATOMIC_SPECIES
Tb 158.93 Tb.upf
Rh 102.91 Rh.upf
Ag 107.87 Ag.upf
CELL_PARAMETERS angstrom
6.6689 0.0000 0.0000
0.0000 9.0302 -0.4909
0.0000 -2.4936 8.6930
ATOMIC_POSITIONS crystal
Tb 0.2044 0.4790 0.8835
Tb 0.7608 0.0304 0.9696
Tb 0.6421 0.2545 0.7455
Tb 0.7044 0.5210 0.1165
Tb 0.1563 0.7227 0.6490
Tb 0.1563 0.3510 0.2773
Tb 0.1421 0.7455 0.2545
Tb 0.6563 0.2773 0.3510
Tb 0.7044 0.8835 0.4790
Tb 0.2044 0.1165 0.5210
Tb 0.2608 0.9696 0.0304
Tb 0.6563 0.6490 0.7227
Rh 0.4486 0.2655 0.0337
Rh 0.9486 0.0337 0.2655
Rh 0.8791 0.5884 0.4116
Rh 0.3791 0.4116 0.5884
Rh 0.4486 0.9663 0.7345
Rh 0.9486 0.7345 0.9663
Ag 0.0847 0.1587 0.8413
Ag 0.5847 0.8413 0.1587
```

A plane-wave DFT calculation with PBE was carried out for crystalline PrGdBeCu at its relaxed geometry. Values from VASP.

E_form in eV/atom: 0.020
Crystal system: cubic
ρ in Mg/m³: 6.93

Quantum ESPRESSO input file:
```
&SYSTEM
  ibrav = 0, nat = 4, ntyp = 4
/
ATOMIC_SPECIES
Be 9.01 Be.upf
Cu 63.55 Cu.upf
Pr 140.91 Pr.upf
Gd 157.25 Gd.upf
CELL_PARAMETERS angstrom
5.0080 0.0000 0.0000
2.5040 4.3370 0.0000
2.5040 1.4457 4.0890
ATOMIC_POSITIONS crystal
Be 0.2500 0.2500 0.2500
Cu 0.7500 0.7500 0.7500
Pr 0.5000 0.5000 0.5000
Gd 0.0000 0.0000 0.0000
```

A plane-wave DFT calculation with PBE was carried out for crystalline CsNpGaSe4 at its relaxed geometry. Values from VASP.

Crystal system: monoclinic
Raw formation energy in meV per atom: -973
ρ in Mg/m³: 5.66

Quantum ESPRESSO input file:
```
&SYSTEM
  ibrav = 0, nat = 14, ntyp = 4
/
ATOMIC_SPECIES
Se 78.96 Se.upf
Np 237.00 Np.upf
Cs 132.91 Cs.upf
Ga 69.72 Ga.upf
CELL_PARAMETERS angstrom
-5.5879 3.3734 -1.5247
-2.3170 -5.5180 -3.7170
-1.3478 -5.1261 8.4501
ATOMIC_POSITIONS crystal
Se 0.9740 0.0129 0.3073
Se 0.0260 0.5129 0.6927
Se 0.4665 0.7500 0.5826
Se 0.9740 0.4871 0.3073
Se 0.5740 0.2500 0.8148
Se 0.5335 0.2500 0.4174
Se 0.4260 0.7500 0.1852
Se 0.0260 0.9871 0.6927
Np 0.2250 0.2500 0.5504
Np 0.7750 0.7500 0.4496
Cs 0.7532 0.7500 0.9473
Cs 0.2468 0.2500 0.0527
Ga 0.2241 0.7500 0.3421
Ga 0.7759 0.2500 0.6579
```

A plane-wave DFT calculation with PBE was carried out for crystalline RbTl2H at its relaxed geometry. Values from VASP.

E_tot in eV/cell: -6.9
Crystal system: cubic
ρ in Mg/m³: 6.39

Quantum ESPRESSO input file:
```
&SYSTEM
  ibrav = 0, nat = 4, ntyp = 3
/
ATOMIC_SPECIES
Tl 204.38 Tl.upf
H 1.01 H.upf
Rb 85.47 Rb.upf
CELL_PARAMETERS angstrom
0.0000 4.0064 4.0064
4.0064 0.0000 4.0064
4.0064 4.0064 0.0000
ATOMIC_POSITIONS crystal
Tl 0.2500 0.2500 0.2500
Tl 0.7500 0.7500 0.7500
H 0.0000 0.0000 0.0000
Rb 0.5000 0.5000 0.5000
```